No. 1
A plane-wave DFT calculation with SCAN was carried out for a PBEsol-optimized structure of CrPO2.

abc: 6.724 6.724 6.724
angles: 149.54 149.54 43.62
Atoms (fractional coordinates):
Cr1 0.000 0.000 0.000
Cr2 0.750 0.250 0.500
P1 0.250 0.750 0.500
P2 0.500 0.500 0.000
O1 0.103 0.625 0.978
O2 0.375 0.353 0.478
O3 0.647 0.125 0.022
O4 0.875 0.897 0.522

formation energy (no corrections)	-0.566	eV/atom
space group	I-42d (122)
crystal system	tetragonal

=====

No. 2
A plane-wave DFT calculation with SCAN was carried out for a PBEsol-optimized structure of CrPO4.

abc: 5.457 6.350 9.096
angles: 72.46 80.74 77.18
Atoms (fractional coordinates):
Cr1 0.198 0.088 0.198
Cr2 0.296 0.163 0.566
Cr3 0.704 0.837 0.434
Cr4 0.802 0.912 0.802
P1 0.157 0.712 0.530
P2 0.341 0.849 0.907
P3 0.659 0.151 0.093
P4 0.843 0.288 0.470
O1 0.068 0.821 0.361
O2 0.106 0.241 0.375
O3 0.140 0.764 0.853
O4 0.238 0.929 0.049
O5 0.269 0.468 0.565
O6 0.355 0.847 0.547
O7 0.398 0.308 0.078
O8 0.433 0.051 0.763
O9 0.567 0.949 0.237
O10 0.602 0.692 0.922
O11 0.645 0.153 0.453
O12 0.731 0.532 0.435
O13 0.762 0.071 0.951
O14 0.860 0.236 0.147
O15 0.894 0.759 0.625
O16 0.932 0.179 0.639

formation energy (no corrections)	-2.463	eV/atom
space group	P-1 (2)
crystal system	triclinic

=====

No. 3
A plane-wave DFT calculation with SCAN was carried out for a PBEsol-optimized structure of Cr3P4O16.

abc: 10.048 10.048 10.505
angles: 90.92 90.92 36.27
Atoms (fractional coordinates):
Cr1 0.000 0.500 0.000
Cr2 0.154 0.155 0.247
Cr3 0.155 0.154 0.747
Cr4 0.500 0.000 0.500
Cr5 0.845 0.846 0.253
Cr6 0.846 0.845 0.753
P1 0.083 0.742 0.005
P2 0.258 0.917 0.495
P3 0.297 0.298 0.251
P4 0.298 0.297 0.751
P5 0.702 0.703 0.249
P6 0.703 0.702 0.749
P7 0.742 0.083 0.505
P8 0.917 0.258 0.995
O1 0.084 0.113 0.113
O2 0.085 0.112 0.878
O3 0.112 0.085 0.378
O4 0.113 0.084 0.613
O5 0.146 0.538 0.277
O6 0.147 0.537 0.729
O7 0.158 0.533 0.003
O8 0.204 0.278 0.140
O9 0.205 0.277 0.860
O10 0.254 0.709 0.007
O11 0.277 0.205 0.360
O12 0.278 0.204 0.640
O13 0.291 0.746 0.493
O14 0.462 0.854 0.223
O15 0.463 0.853 0.771
O16 0.467 0.842 0.497
O17 0.533 0.158 0.503
O18 0.537 0.147 0.229
O19 0.538 0.146 0.777
O20 0.709 0.254 0.507
O21 0.722 0.796 0.360
O22 0.723 0.795 0.640
O23 0.746 0.291 0.993
O24 0.795 0.723 0.140
O25 0.796 0.722 0.860
O26 0.842 0.467 0.997
O27 0.853 0.463 0.271
O28 0.854 0.462 0.723
O29 0.887 0.916 0.387
O30 0.888 0.915 0.622
O31 0.915 0.888 0.122
O32 0.916 0.887 0.887

formation energy (no corrections)	-2.231	eV/atom
space group	C2/c (15)
crystal system	monoclinic

=====

No. 4
A plane-wave DFT calculation with SCAN was carried out for a PBEsol-optimized structure of CrPO4.

abc: 4.667 4.667 6.124
angles: 90.00 90.00 112.97
Atoms (fractional coordinates):
Cr1 0.000 0.000 0.000
Cr2 0.000 0.000 0.500
P1 0.349 0.651 0.750
P2 0.651 0.349 0.250
O1 0.223 0.282 0.750
O2 0.245 0.755 0.541
O3 0.245 0.755 0.959
O4 0.282 0.223 0.250
O5 0.718 0.777 0.750
O6 0.755 0.245 0.041
O7 0.755 0.245 0.459
O8 0.777 0.718 0.250

formation energy (no corrections)	-2.534	eV/atom
space group	Cmcm (63)
crystal system	orthorhombic

=====

No. 5
A plane-wave DFT calculation with SCAN was carried out for a PBEsol-optimized structure of Cr3P2O8.

abc: 4.960 9.449 8.014
angles: 90.00 126.70 90.00
Atoms (fractional coordinates):
Cr1 0.000 0.000 0.000
Cr2 0.000 0.500 0.500
Cr3 0.202 0.123 0.651
Cr4 0.202 0.377 0.151
Cr5 0.798 0.623 0.849
Cr6 0.798 0.877 0.349
P1 0.344 0.682 0.350
P2 0.344 0.818 0.850
P3 0.656 0.182 0.150
P4 0.656 0.318 0.650
O1 0.098 0.583 0.161
O2 0.098 0.917 0.661
O3 0.216 0.668 0.818
O4 0.216 0.832 0.318
O5 0.308 0.177 0.113
O6 0.308 0.323 0.613
O7 0.386 0.614 0.543
O8 0.386 0.886 0.043
O9 0.614 0.114 0.957
O10 0.614 0.386 0.457
O11 0.692 0.677 0.387
O12 0.692 0.823 0.887
O13 0.784 0.168 0.682
O14 0.784 0.332 0.182
O15 0.902 0.083 0.339
O16 0.902 0.417 0.839

formation energy (no corrections)	-2.299	eV/atom
space group	P2_1/c (14)
crystal system	monoclinic

=====

No. 6
A plane-wave DFT calculation with SCAN was carried out for a PBEsol-optimized structure of Cr3P4O14.

abc: 6.158 6.767 7.362
angles: 78.76 68.39 82.17
Atoms (fractional coordinates):
Cr1 0.000 0.000 0.000
Cr2 0.247 0.424 0.361
Cr3 0.753 0.576 0.639
P1 0.231 0.655 0.709
P2 0.390 0.290 0.936
P3 0.610 0.710 0.064
P4 0.769 0.345 0.291
O1 0.096 0.559 0.605
O2 0.098 0.844 0.781
O3 0.232 0.494 0.899
O4 0.302 0.118 0.886
O5 0.355 0.671 0.200
O6 0.356 0.268 0.154
O7 0.484 0.674 0.570
O8 0.516 0.326 0.430
O9 0.644 0.732 0.846
O10 0.645 0.329 0.800
O11 0.698 0.882 0.114
O12 0.768 0.506 0.101
O13 0.902 0.156 0.219
O14 0.904 0.441 0.395

formation energy (no corrections)	-2.371	eV/atom
space group	P-1 (2)
crystal system	triclinic